Record 1
First-principles (PBEsol) data for a geometry-optimized LiPbSe2 structure, as listed in the Alexandria database.

abc: 6.815 6.815 6.815
angles: 34.38 34.38 34.38
Atoms (fractional coordinates):
Li1 0.000 0.000 0.000
Pb1 0.500 0.500 0.500
Se1 0.260 0.260 0.260
Se2 0.740 0.740 0.740

Values from the calculation:
calculated total energy = -16.24 eV for the cell shown
density = 6.86 g/cm3
raw formation energy = -0.6429 eV per atom



Record 2
First-principles (PBEsol) data for a geometry-optimized KSrAl2 structure, as listed in the Alexandria database.

abc: 7.122 7.122 7.122
angles: 100.80 100.80 128.69
Atoms (fractional coordinates):
K1 0.000 0.000 0.000
K2 0.750 0.250 0.500
Sr1 0.250 0.750 0.500
Sr2 0.500 0.500 0.000
Al1 0.130 0.125 0.505
Al2 0.375 0.870 0.995
Al3 0.620 0.625 0.495
Al4 0.875 0.380 0.005

Values from the calculation:
calculated total energy = -18.20 eV for the cell shown
density = 2.36 g/cm3
formation energy from the elements = 514.4 meV/atom



Record 3
First-principles (PBEsol) data for a geometry-optimized SrMg2Hg2 structure, as listed in the Alexandria database.

abc: 7.130 7.130 7.130
angles: 143.21 143.21 53.01
Atoms (fractional coordinates):
Sr1 0.000 0.000 0.000
Mg1 0.250 0.750 0.500
Mg2 0.750 0.250 0.500
Hg1 0.388 0.388 0.000
Hg2 0.612 0.612 0.000

Values from the calculation:
calculated total energy = -8.51 eV for the cell shown
density = 6.91 g/cm3
formation energy from the elements = -419.8 meV/atom



Record 4
First-principles (PBEsol) data for a geometry-optimized BaY2Te4 structure, as listed in the Alexandria database.

abc: 13.556 4.415 16.057
angles: 90.00 90.00 90.00
Atoms (fractional coordinates):
Ba1 0.238 0.250 0.170
Ba2 0.262 0.750 0.670
Ba3 0.738 0.250 0.330
Ba4 0.762 0.750 0.830
Y1 0.059 0.250 0.391
Y2 0.080 0.250 0.904
Y3 0.420 0.750 0.404
Y4 0.441 0.750 0.891
Y5 0.559 0.250 0.109
Y6 0.580 0.250 0.596
Y7 0.920 0.750 0.096
Y8 0.941 0.750 0.609
Te1 0.027 0.750 0.784
Te2 0.092 0.250 0.577
Te3 0.129 0.750 0.029
Te4 0.205 0.750 0.339
Te5 0.295 0.250 0.839
Te6 0.371 0.250 0.529
Te7 0.408 0.750 0.077
Te8 0.473 0.250 0.284
Te9 0.527 0.750 0.716
Te10 0.592 0.250 0.923
Te11 0.629 0.750 0.471
Te12 0.705 0.750 0.161
Te13 0.795 0.250 0.661
Te14 0.871 0.250 0.971
Te15 0.908 0.750 0.423
Te16 0.973 0.250 0.216

Values from the calculation:
calculated total energy = -162.97 eV for the cell shown
density = 5.71 g/cm3
raw formation energy = -1.5493 eV per atom



Record 5
First-principles (PBEsol) data for a geometry-optimized Li2Ca2Y structure, as listed in the Alexandria database.

abc: 11.248 11.248 11.248
angles: 160.93 160.93 27.10
Atoms (fractional coordinates):
Li1 0.250 0.750 0.500
Li2 0.750 0.250 0.500
Ca1 0.119 0.119 0.000
Ca2 0.881 0.881 0.000
Y1 0.500 0.500 0.000

Values from the calculation:
calculated total energy = -14.31 eV for the cell shown
density = 2.00 g/cm3
formation energy from the elements = 143.1 meV/atom



Record 6
First-principles (PBEsol) data for a geometry-optimized Nb2InN structure, as listed in the Alexandria database.

abc: 4.443 4.443 4.443
angles: 60.00 60.00 60.00
Atoms (fractional coordinates):
Nb1 0.250 0.250 0.250
Nb2 0.750 0.750 0.750
In1 0.000 0.000 0.000
N1 0.500 0.500 0.500

Values from the calculation:
calculated total energy = -29.66 eV for the cell shown
density = 8.43 g/cm3
raw formation energy = 0.8720 eV per atom



Record 7
First-principles (PBEsol) data for a geometry-optimized BePt2Rh structure, as listed in the Alexandria database.

abc: 5.047 5.047 5.047
angles: 148.24 129.33 61.05
Atoms (fractional coordinates):
Be1 0.000 0.000 0.000
Pt1 0.209 0.709 0.500
Pt2 0.791 0.291 0.500
Rh1 0.500 0.500 0.000

Values from the calculation:
calculated total energy = -27.07 eV for the cell shown
density = 16.07 g/cm3
formation energy from the elements = -252.3 meV/atom



Record 8
First-principles (PBEsol) data for a geometry-optimized Si3TePt structure, as listed in the Alexandria database.

abc: 4.717 4.717 4.717
angles: 90.00 90.00 90.00
Atoms (fractional coordinates):
Si1 0.000 0.000 0.500
Si2 0.000 0.500 0.000
Si3 0.500 0.000 0.000
Te1 0.500 0.500 0.500
Pt1 0.000 0.000 0.000

Values from the calculation:
calculated total energy = -26.22 eV for the cell shown
density = 6.44 g/cm3
raw formation energy = 0.3027 eV per atom